[1]
Computed, not measured: an optimized crystal structure of Nd11Dy4Tm9 at the PBE level of DFT.

Cell lengths 16.8890, 25.6133, 3.6552 Å; angles 90.00, 90.00, 90.00 degrees
Last column: nearest neighbours and their distance in Å.
Space group Cmmm (No. 65)
Inequivalent atoms, fractional coordinates:
Nd: 0.0000 0.0000 0.0000 [2 per cell]  8 Tm 3.53, 2 Nd 3.66
Nd: 0.0000 0.1603 0.0000 [4 per cell]  4 Nd 3.66-3.82, 8 Tm 3.72-3.74
Nd: 0.0000 0.3682 0.0000 [4 per cell]  4 Dy 3.31, 4 Tm 3.60, 2 Nd 3.66
Nd: 0.2081 0.5000 0.0000 [4 per cell]  4 Dy 3.29, 4 Tm 3.65, 2 Nd 3.66
Nd: 0.2240 0.1813 0.0000 [8 per cell]  2 Dy 3.40, 6 Tm 3.53-3.71, 3 Nd 3.63-3.66
Dy: 0.1571 0.3984 0.5000 [8 per cell]  6 Nd 3.29-3.40, 2 Tm 3.48-3.50, 2 Dy 3.66
Tm: 0.0000 0.5000 0.5000 [2 per cell]  2 Tm 3.66, 4 Dy 3.72, 8 Nd 3.84-3.96
Tm: 0.1016 0.2674 0.5000 [8 per cell]  3 Tm 3.43-3.66, 1 Dy 3.48, 8 Nd 3.53-3.72
Tm: 0.1405 0.0727 0.5000 [8 per cell]  1 Dy 3.50, 8 Nd 3.53-3.74, 3 Tm 3.66-3.72

## Properties
- Calculated formation energy: 0.06 eV per atom
- E: -109.7 eV per formula unit
- Fermi-level density of states: 59.127 states/eV/cell
- Total moment: 0.0 μB per cell

---

[2]
Computed, not measured: an optimized crystal structure of Nd5Dy2Tm3 at the PBE level of DFT.

Cell lengths 9.4144, 13.6300, 10.9539 Å; angles 90.00, 90.00, 90.00 degrees
Last column: nearest neighbours and their distance in Å.
Space group Ibam (No. 72)
Inequivalent atoms, fractional coordinates:
Nd: 0.0000 0.0000 0.2500 [4 per cell]  6 Nd 3.39-3.46
Nd: 0.0000 0.2538 0.2500 [8 per cell]  2 Dy 3.35, 1 Tm 3.36, 3 Nd 3.37-3.46
Nd: 0.1030 0.1285 0.0000 [8 per cell]  1 Dy 2.90
Dy: 0.0890 0.3814 0.5000 [8 per cell]  1 Nd 2.90, 1 Tm 3.20
Tm: 0.0000 0.5000 0.2500 [4 per cell]  4 Dy 3.29, 2 Nd 3.36
Tm: 0.2493 0.1238 0.5000 [8 per cell]  1 Dy 3.20, 1 Nd 3.32

## Properties
- Calculated formation energy: 0.38 eV per atom
- E: -42.7 eV per formula unit
- Excess energy over the best structure of this formula in the dataset: 1.97 eV/f.u.
- Fermi-level density of states: 56.677 states/eV/cell
- Total moment: 0.0 μB per cell

---

[3]
Computed, not measured: an optimized crystal structure of Nd2DyTm5 at the PBE level of DFT.

Cell lengths 16.0887, 9.8110, 6.5090 Å; angles 90.00, 99.05, 90.00 degrees
Last column: nearest neighbours and their distance in Å.
Space group C2/c (No. 15)
Inequivalent atoms, fractional coordinates:
Nd: 0.0790 0.2449 0.1175 [8 per cell]  1 Dy 2.97, 2 Tm 3.18-3.30, 1 Nd 3.29
Dy: 0.2500 0.2500 0.0000 [4 per cell]  2 Nd 2.97
Tm: 0.0000 0.4413 0.7500 [4 per cell]  4 Nd 3.18-3.49, 2 Tm 3.45
Tm: 0.1008 0.0894 0.6480 [8 per cell]  3 Nd 3.30-3.48, 1 Dy 3.43, 5 Tm 3.60-3.70
Tm: 0.1977 0.4125 0.5258 [8 per cell]  2 Dy 3.43-3.46, 1 Nd 3.44, 7 Tm 3.60-3.71

## Properties
- Calculated formation energy: 0.17 eV per atom
- E: -35.1 eV per formula unit
- Fermi-level density of states: 47.433 states/eV/cell
- Total moment: 0.0 μB per cell

---

[4]
Computed, not measured: an optimized crystal structure of Nd5DyTm4 at the PBE level of DFT.

Cell lengths 3.6106, 3.6106, 25.0494 Å; angles 90.00, 90.00, 90.00 degrees
Last column: nearest neighbours and their distance in Å.
Space group P4/mmm (No. 123)
Inequivalent atoms, fractional coordinates:
Nd: 0.0000 0.0000 0.0000 [1 per cell]  8 Tm 3.57, 4 Nd 3.61
Nd: 0.0000 0.0000 0.1992 [2 per cell]  8 Tm 3.57, 4 Nd 3.61
Nd: 0.0000 0.0000 0.3987 [2 per cell]  4 Tm 3.57, 4 Dy 3.60, 4 Nd 3.61
Dy: 0.5000 0.5000 0.5000 [1 per cell]  8 Nd 3.60, 4 Dy 3.61
Tm: 0.5000 0.5000 0.0996 [2 per cell]  8 Nd 3.57, 4 Tm 3.61
Tm: 0.5000 0.5000 0.2988 [2 per cell]  8 Nd 3.57, 4 Tm 3.61

## Properties
- Calculated formation energy: 0.02 eV per atom
- E: -46.1 eV per formula unit
- Fermi-level density of states: 13.802 states/eV/cell
- Total moment: 0.0 μB per cell